First-principles (PBE-GGA) data for a relaxed KCa2Mo crystal, as listed in Alexandria via LeMat-Bulk.

```
KCa2Mo
1.0
0.0000 4.0859 4.0859
4.0859 0.0000 4.0859
4.0859 4.0859 0.0000
K Ca Mo
1 2 1
direct
0.0000 0.0000 0.0000
0.5000 0.5000 0.5000
0.7500 0.7500 0.7500
0.2500 0.2500 0.2500
```

energy relative to the lowest polymorph listed for this composition	379	meV/atom
DFT formation energy	1.05	eV per atom
crystal system	cubic
magnetic moment	3.150	μB/f.u.

First-principles (PBE-GGA) data for a relaxed KCaMo2 crystal, as listed in Alexandria via LeMat-Bulk.

```
KCaMo2
1.0
1.4790 0.8539 11.5801
-1.4790 0.8539 11.5801
0.0000 -1.7078 11.5801
K Ca Mo
1 1 2
direct
0.0000 0.0000 0.0000
0.5000 0.5000 0.5000
0.2437 0.2437 0.2437
0.7563 0.7563 0.7563
```

energy relative to the lowest polymorph listed for this composition	661	meV/atom
DFT formation energy	1.27	eV per atom
crystal system	trigonal
magnetic moment	0.724	μB/f.u.

First-principles (PBE-GGA) data for a relaxed KCaMo2 crystal, as listed in Alexandria via LeMat-Bulk.

```
KCaMo2
1.0
4.1771 0.0000 0.0000
0.0000 4.1771 0.0000
0.0000 0.0000 7.5909
K Ca Mo
1 1 2
direct
0.0000 0.0000 0.0000
0.0000 0.0000 0.5000
0.5000 0.5000 0.3613
0.5000 0.5000 0.6387
```

energy relative to the lowest polymorph listed for this composition	604	meV/atom
DFT formation energy	1.22	eV per atom
crystal system	tetragonal
magnetic moment	1.434	μB/f.u.

First-principles (PBE-GGA) data for a relaxed KCa2Mo crystal, as listed in Alexandria via LeMat-Bulk.

```
KCa2Mo
1.0
5.8022 0.0000 0.0000
0.0000 5.8022 0.0000
0.0000 0.0000 3.9068
K Ca Mo
1 2 1
direct
0.0000 0.0000 0.0000
0.0000 0.5000 0.5000
0.5000 0.0000 0.5000
0.5000 0.5000 0.0000
```

energy relative to the lowest polymorph listed for this composition	324	meV/atom
DFT formation energy	0.99	eV per atom
crystal system	tetragonal
magnetic moment	3.088	μB/f.u.

First-principles (PBE-GGA) data for a relaxed KCa2Mo crystal, as listed in Alexandria via LeMat-Bulk.

```
KCa2Mo
1.0
3.1279 -1.7910 0.0000
3.1279 1.7910 0.0000
-2.1162 0.0000 12.1916
K Ca Mo
1 2 1
direct
0.0000 0.0000 0.0000
0.2315 0.2315 0.6837
0.7685 0.7685 0.3163
0.5000 0.5000 0.5000
```

energy relative to the lowest polymorph listed for this composition	107	meV/atom
DFT formation energy	0.78	eV per atom
crystal system	monoclinic
magnetic moment	1.733	μB/f.u.

First-principles (PBE-GGA) data for a relaxed KCaMo2 crystal, as listed in Alexandria via LeMat-Bulk.

```
KCaMo2
1.0
-4.3699 4.3699 2.7042
4.3699 -4.3699 2.7042
4.3699 4.3699 -2.7042
K Ca Mo
2 2 4
direct
0.0000 0.0000 0.0000
0.7500 0.2500 0.5000
0.2500 0.7500 0.5000
0.5000 0.5000 0.0000
0.1352 0.1250 0.5102
0.3750 0.8648 0.9898
0.6148 0.6250 0.4898
0.8750 0.3852 0.0102
```

energy relative to the lowest polymorph listed for this composition	1265	meV/atom
DFT formation energy	1.88	eV per atom
crystal system	tetragonal
magnetic moment	4.447	μB/f.u.